Entry 1:
A plane-wave DFT calculation with PBE was carried out for RbGeSbSe4 after structural relaxation.

The volume is 463.24 Å³/cell. The formation energy from raw total energies is -0.511 eV/atom.

The space group is P2_1/m (No. 11) and the conventional cell measures 7.055, 7.160 and 9.657 Å, with angles of 90.00, 108.27 and 90.00 degrees. The distinct sites, in fractional coordinates, are Rb at (0.239, 0.250, 0.444), Ge at (0.259, 0.750, 0.171), Sb at (0.272, 0.250, 0.996), Se at (0.055, 0.750, 0.919), Se at (0.070, 0.750, 0.328) and Se at (0.487, 0.009, 0.208).


Entry 2:
A plane-wave DFT calculation with PBE was carried out for Rb2GeSbSe4 after structural relaxation.

The volume is 512.04 Å³/cell. The formation energy from raw total energies is -0.576 eV/atom.

The space group is I-42m (No. 121) and the conventional cell measures 8.427, 8.427 and 7.211 Å, with angles of 90.00, 90.00 and 90.00 degrees. The distinct sites, in fractional coordinates, are Rb at (0.000, 0.500, 0.000), Ge at (0.000, 0.000, 0.000), Sb at (0.000, 0.000, 0.500) and Se at (0.168, 0.168, 0.773).


Entry 3:
A plane-wave DFT calculation with PBE was carried out for RbGeSbSe3 after structural relaxation.

The volume is 386.49 Å³/cell. The formation energy from raw total energies is -0.545 eV/atom.

The space group is P2_1/m (No. 11) and the conventional cell measures 8.916, 4.063 and 11.441 Å, with angles of 90.00, 111.14 and 90.00 degrees. The distinct sites, in fractional coordinates, are Rb at (0.241, 0.250, 0.286), Ge at (0.124, 0.250, 0.559), Sb at (0.365, 0.750, 0.846), Se at (0.111, 0.250, 0.773), Se at (0.328, 0.750, 0.580) and Se at (0.393, 0.750, 0.101).


Entry 4:
A plane-wave DFT calculation with PBE was carried out for RbSnGe2Sb after structural relaxation.

The volume is 181.73 Å³/cell. The formation energy from raw total energies is 0.498 eV/atom.

The space group is P4/mmm (No. 123) and the conventional cell measures 5.535, 5.535 and 5.932 Å, with angles of 90.00, 90.00 and 90.00 degrees. The distinct sites, in fractional coordinates, are Rb at (0.000, 0.000, 0.000), Sn at (0.500, 0.500, 0.000), Ge at (0.000, 0.500, 0.500) and Sb at (0.500, 0.500, 0.500).


Entry 5:
A plane-wave DFT calculation with PBE was carried out for RbGeSbTe2 after structural relaxation.

The volume is 177.23 Å³/cell. The formation energy from raw total energies is 0.013 eV/atom. The relative energy among the computed polymorphs comes out at 0.000 eV/atom.

The space group is P4/mmm (No. 123) and the conventional cell measures 5.706, 5.706 and 5.443 Å, with angles of 90.00, 90.00 and 90.00 degrees. The distinct sites, in fractional coordinates, are Rb at (0.000, 0.000, 0.000), Ge at (0.500, 0.500, 0.500), Sb at (0.500, 0.500, 0.000) and Te at (0.000, 0.500, 0.500).


Entry 6:
A plane-wave DFT calculation with PBE was carried out for RbGeSbTe2 after structural relaxation.

The volume is 225.10 Å³/cell. The formation energy from raw total energies is 1.318 eV/atom. The relative energy among the computed polymorphs comes out at 1.305 eV/atom.

The space group is P4/mmm (No. 123) and the conventional cell measures 6.160, 6.160 and 5.932 Å, with angles of 90.00, 90.00 and 90.00 degrees. The distinct sites, in fractional coordinates, are Rb at (0.000, 0.000, 0.000), Ge at (0.500, 0.500, 0.500), Sb at (0.000, 0.000, 0.500) and Te at (0.000, 0.500, 0.000).


Entry 7:
A plane-wave DFT calculation with PBE was carried out for RbGe2SbW after structural relaxation.

The volume is 161.90 Å³/cell. The formation energy from raw total energies is 0.969 eV/atom. The relative energy among the computed polymorphs comes out at 0.000 eV/atom.

The space group is P4/mmm (No. 123) and the conventional cell measures 5.005, 5.005 and 6.463 Å, with angles of 90.00, 90.00 and 90.00 degrees. The distinct sites, in fractional coordinates, are Rb at (0.000, 0.000, 0.000), Ge at (0.000, 0.500, 0.500), Sb at (0.500, 0.500, 0.000) and W at (0.000, 0.000, 0.500).


Entry 8:
A plane-wave DFT calculation with PBE was carried out for RbGe2SbW after structural relaxation.

The volume is 150.27 Å³/cell. The formation energy from raw total energies is 2.803 eV/atom. The relative energy among the computed polymorphs comes out at 1.834 eV/atom.

The space group is P4/mmm (No. 123) and the conventional cell measures 5.153, 5.153 and 5.659 Å, with angles of 90.00, 90.00 and 90.00 degrees. The distinct sites, in fractional coordinates, are Rb at (0.000, 0.000, 0.000), Ge at (0.000, 0.500, 0.000), Sb at (0.000, 0.000, 0.500) and W at (0.500, 0.500, 0.500).


> Which of these has the lowest formation energy from raw total energies?

Rb2GeSbSe4


> Among the records above, which one has the lowest formation energy from raw total energies?

Rb2GeSbSe4


What did the second record say?
A plane-wave DFT calculation with PBE was carried out for Rb2GeSbSe4 after structural relaxation.

The volume is 512.04 Å³/cell. The formation energy from raw total energies is -0.576 eV/atom.

The space group is I-42m (No. 121) and the conventional cell measures 8.427, 8.427 and 7.211 Å, with angles of 90.00, 90.00 and 90.00 degrees. The distinct sites, in fractional coordinates, are Rb at (0.000, 0.500, 0.000), Ge at (0.000, 0.000, 0.000), Sb at (0.000, 0.000, 0.500) and Se at (0.168, 0.168, 0.773).


> Look up the formation energy from raw total energies of the sixth one.

1.318 eV/atom